No. 1
{"formula": "MgNbAl2As", "functional": "PBE", "state": "optimized geometry", "cell": [[5.058, 0.000, 0.000], [0.000, 5.058, 0.000], [0.000, 0.000, 4.924]], "species": ["Mg", "Nb", "Al", "Al", "As"], "fractional_positions": [[0.000, 0.000, 0.000], [0.500, 0.500, 0.500], [0.000, 0.500, 0.500], [0.500, 0.000, 0.500], [0.500, 0.500, 0.000]], "total_energy_ev_per_cell": -21.691, "rho_g_cm3": 3.24, "space_group": "P4/mmm"}

---

No. 2
{"formula": "Mg3AlNi9As2", "functional": "PBE", "state": "optimized geometry", "cell": [[5.923, 0.000, 0.000], [-2.962, 5.130, 0.000], [0.000, 0.000, 8.304]], "species": ["Mg", "Mg", "Mg", "Al", "Ni", "Ni", "Ni", "Ni", "Ni", "Ni", "Ni", "Ni", "Ni", "As", "As"], "fractional_positions": [[0.000, 0.000, 0.000], [0.333, 0.667, 0.734], [0.667, 0.333, 0.266], [0.000, 0.000, 0.500], [0.000, 0.500, 0.000], [0.131, 0.263, 0.263], [0.131, 0.869, 0.263], [0.263, 0.131, 0.737], [0.500, 0.000, 0.000], [0.500, 0.500, 0.000], [0.737, 0.869, 0.263], [0.869, 0.131, 0.737], [0.869, 0.737, 0.737], [0.333, 0.667, 0.186], [0.667, 0.333, 0.814]], "total_energy_ev_per_cell": -69.887, "rho_g_cm3": 5.12, "space_group": "P-3m1"}

---

No. 3
{"formula": "MgAl2AsO6", "functional": "PBE", "state": "optimized geometry", "cell": [[4.879, -4.433, 0.000], [4.879, 4.433, 0.000], [-1.192, 0.000, 5.162]], "species": ["Mg", "Mg", "Al", "Al", "Al", "Al", "As", "As", "O", "O", "O", "O", "O", "O", "O", "O", "O", "O", "O", "O"], "fractional_positions": [[0.093, 0.907, 0.750], [0.907, 0.093, 0.250], [0.211, 0.393, 0.731], [0.393, 0.211, 0.231], [0.607, 0.789, 0.769], [0.789, 0.607, 0.269], [0.257, 0.743, 0.250], [0.743, 0.257, 0.750], [0.006, 0.211, 0.646], [0.136, 0.637, 0.902], [0.211, 0.006, 0.146], [0.273, 0.414, 0.427], [0.363, 0.864, 0.598], [0.414, 0.273, 0.927], [0.586, 0.727, 0.073], [0.637, 0.136, 0.402], [0.727, 0.586, 0.573], [0.789, 0.994, 0.854], [0.864, 0.363, 0.098], [0.994, 0.789, 0.354]], "total_energy_ev_per_cell": -132.853, "raw_formation_energy_mev_per_atom": -2295, "rho_g_cm3": 3.71, "space_group": "C2/c"}

---

No. 4
{"formula": "Mg2AlAsO6", "functional": "PBE", "state": "optimized geometry", "cell": [[4.929, 0.000, 0.000], [0.000, 4.929, 0.000], [0.000, 0.000, 4.630]], "species": ["Mg", "Mg", "Al", "As", "O", "O", "O", "O", "O", "O"], "fractional_positions": [[0.000, 0.500, 0.000], [0.500, 0.000, 0.000], [0.000, 0.000, 0.596], [0.500, 0.500, 0.614], [0.000, 0.000, 0.219], [0.254, 0.254, 0.744], [0.254, 0.746, 0.744], [0.500, 0.500, 0.244], [0.746, 0.254, 0.744], [0.746, 0.746, 0.744]], "total_energy_ev_per_cell": -61.750, "raw_formation_energy_mev_per_atom": -2042, "rho_g_cm3": 3.64, "space_group": "P4mm"}

---

No. 5
{"formula": "MgAlAs2O8", "functional": "PBE", "state": "optimized geometry", "cell": [[-3.239, 3.239, 3.126], [3.239, -3.239, 3.126], [3.239, 3.239, -3.126]], "species": ["Mg", "Al", "As", "As", "O", "O", "O", "O", "O", "O", "O", "O"], "fractional_positions": [[0.000, 0.000, 0.000], [0.750, 0.250, 0.500], [0.250, 0.750, 0.500], [0.500, 0.500, 0.000], [0.064, 0.371, 0.307], [0.064, 0.757, 0.693], [0.118, 0.322, 0.796], [0.243, 0.936, 0.307], [0.526, 0.322, 0.204], [0.629, 0.936, 0.693], [0.678, 0.474, 0.796], [0.678, 0.882, 0.204]], "total_energy_ev_per_cell": -72.670, "raw_formation_energy_mev_per_atom": -1531, "rho_g_cm3": 4.17, "space_group": "I-4m2"}

---

No. 6
{"formula": "Mg2AlAs2Rh5", "functional": "PBE", "state": "optimized geometry", "cell": [[9.472, 0.000, 0.000], [0.000, 9.472, 0.000], [0.000, 0.000, 3.495]], "species": ["Mg", "Mg", "Mg", "Mg", "Al", "Al", "As", "As", "As", "As", "Rh", "Rh", "Rh", "Rh", "Rh", "Rh", "Rh", "Rh", "Rh", "Rh"], "fractional_positions": [[0.171, 0.329, 0.000], [0.329, 0.829, 0.000], [0.671, 0.171, 0.000], [0.829, 0.671, 0.000], [0.000, 0.000, 0.000], [0.500, 0.500, 0.000], [0.130, 0.630, 0.000], [0.370, 0.130, 0.000], [0.630, 0.870, 0.000], [0.870, 0.370, 0.000], [0.000, 0.500, 0.500], [0.072, 0.799, 0.500], [0.201, 0.072, 0.500], [0.299, 0.572, 0.500], [0.428, 0.299, 0.500], [0.500, 0.000, 0.500], [0.572, 0.701, 0.500], [0.701, 0.428, 0.500], [0.799, 0.928, 0.500], [0.928, 0.201, 0.500]], "total_energy_ev_per_cell": -117.055, "rho_g_cm3": 7.84, "space_group": "P4/mbm"}

---

No. 7
{"formula": "MgScAlAs2", "functional": "PBE", "state": "optimized geometry", "cell": [[4.916, 0.000, 0.000], [0.000, 4.916, 0.000], [0.000, 0.000, 4.899]], "species": ["Mg", "Sc", "Al", "As", "As"], "fractional_positions": [[0.000, 0.000, 0.000], [0.500, 0.500, 0.000], [0.000, 0.000, 0.500], [0.000, 0.500, 0.500], [0.500, 0.000, 0.500]], "total_energy_ev_per_cell": -19.477, "rho_g_cm3": 3.45, "space_group": "P4/mmm"}

---

No. 8
{"formula": "MgAlAsSe2", "functional": "PBE", "state": "optimized geometry", "cell": [[4.968, 0.000, 0.000], [0.000, 4.968, 0.000], [0.000, 0.000, 5.215]], "species": ["Mg", "Al", "As", "Se", "Se"], "fractional_positions": [[0.000, 0.000, 0.000], [0.000, 0.000, 0.500], [0.500, 0.500, 0.500], [0.000, 0.500, 0.000], [0.500, 0.000, 0.000]], "total_energy_ev_per_cell": -14.221, "raw_formation_energy_mev_per_atom": 547, "rho_g_cm3": 3.67, "e_above_lowest_polymorph_ev_per_atom": 0.515, "space_group": "P4/mmm"}